Here is Ta2TlW at its PBEsol-relaxed geometry from Alexandria via LeMat-Bulk. Energies are from SCAN.

VASP energy (eV per atom): -68.276
E_form (eV/f.u.): 2.1

Cell: 5.1241 2.9169 5.1381 Å, 90.00 110.97 90.00°
Closest atoms and distances in Å follow each position.
Space group P2/m (No. 10)
Inequivalent atoms, fractional coordinates:
Ta  0.0000  0.0000  0.0000 (multiplicity 1)  2 Tl 2.91, 6 Ta 2.92-2.95, 4 W 2.95
Ta  0.0000  0.5000  0.5000 (multiplicity 1)  2 W 2.91, 6 Ta 2.92-2.95, 4 Tl 2.95
Tl  0.5000  0.0000  0.5000 (multiplicity 1)  6 Ta 2.91-2.95, 2 Tl 2.92, 4 W 2.95
W  0.5000  0.5000  0.0000 (multiplicity 1)  6 Ta 2.91-2.95, 2 W 2.92, 4 Tl 2.95

=====

Here is TaTlW2 at its PBEsol-relaxed geometry from Alexandria via LeMat-Bulk. Energies are from SCAN.

VASP energy (eV per atom): -69.059
E_form (eV/f.u.): 2.1

Cell: 2.8235 4.4812 5.7067 Å, 90.00 103.75 90.00°
Closest atoms and distances in Å follow each position.
Space group Pm (No. 6)
Inequivalent atoms, fractional coordinates:
Ta  0.0000  0.0000  0.0000 (multiplicity 1)  3 W 2.67-2.82, 2 Ta 2.82, 2 Tl 2.95
Tl  0.5681  0.5000  0.2650 (multiplicity 1)  2 Tl 2.82, 4 W 2.86-2.91, 4 Ta 2.95-3.11
W  0.0714  0.0000  0.5425 (multiplicity 1)  1 Ta 2.67, 4 W 2.70-2.82, 2 Tl 2.91
W  0.5047  0.5000  0.7574 (multiplicity 1)  4 W 2.70-2.82, 2 Ta 2.82, 2 Tl 2.86

=====

Here is Ta2TlW at its PBEsol-relaxed geometry from Alexandria via LeMat-Bulk. Energies are from SCAN.

VASP energy (eV per atom): -68.423
E_form (eV/f.u.): 1.5

Cell: 2.8572 4.6894 5.4742 Å, 90.00 98.96 90.00°
Closest atoms and distances in Å follow each position.
Space group Pm (No. 6)
Inequivalent atoms, fractional coordinates:
Ta  0.0000  0.0000  0.0000 (multiplicity 1)  1 W 2.65, 4 Ta 2.86-2.89, 2 Tl 2.97
Ta  0.2643  0.5000  0.7437 (multiplicity 1)  2 W 2.77, 3 Tl 2.83-3.07, 4 Ta 2.86-2.89
Tl  0.6502  0.5000  0.2517 (multiplicity 1)  5 Ta 2.83-3.07, 2 Tl 2.86, 2 W 2.86
W  0.5455  0.0000  0.5389 (multiplicity 1)  3 Ta 2.65-2.77, 2 W 2.86, 2 Tl 2.86

=====

Here is Y2TaTl at its PBEsol-relaxed geometry from Alexandria via LeMat-Bulk. Energies are from SCAN.

VASP energy (eV per atom): -48.559
E_form (eV/f.u.): 0.4

Cell: 4.6098 4.6098 4.4115 Å, 90.00 90.00 90.00°
Closest atoms and distances in Å follow each position.
Space group P4/mmm (No. 123)
Inequivalent atoms, fractional coordinates:
Y  0.0000  0.5000  0.0000 (multiplicity 2)  4 Ta 3.19, 4 Tl 3.19, 4 Y 3.26
Ta  0.0000  0.0000  0.5000 (multiplicity 1)  8 Y 3.19, 4 Tl 3.26
Tl  0.5000  0.5000  0.5000 (multiplicity 1)  8 Y 3.19, 4 Ta 3.26

=====

Here is Y2TaTl at its PBEsol-relaxed geometry from Alexandria via LeMat-Bulk. Energies are from SCAN.

VASP energy (eV per atom): -48.467
E_form (eV/f.u.): 0.8

Cell: 3.2149 3.2149 9.4903 Å, 90.00 90.00 90.00°
Closest atoms and distances in Å follow each position.
Space group P4mm (No. 99)
Inequivalent atoms, fractional coordinates:
Y  0.0000  0.0000  0.0000 (multiplicity 1)  4 Tl 3.20, 4 Y 3.21
Y  0.5000  0.5000  0.3154 (multiplicity 1)  4 Ta 3.17, 4 Y 3.21
Ta  0.0000  0.0000  0.5475 (multiplicity 1)  4 Tl 3.06, 4 Y 3.17, 4 Ta 3.21
Tl  0.5000  0.5000  0.7626 (multiplicity 1)  4 Ta 3.06, 4 Y 3.20, 4 Tl 3.21

=====

Here is YTa2Tl at its PBEsol-relaxed geometry from Alexandria via LeMat-Bulk. Energies are from SCAN.

VASP energy (eV per atom): -57.930
E_form (eV/f.u.): 1.6

Cell: 5.9134 10.1674 2.9981 Å, 90.00 112.91 90.00°
Closest atoms and distances in Å follow each position.
Space group C2/m (No. 12)
Inequivalent atoms, fractional coordinates:
Y  0.0000  0.0000  0.0000 (multiplicity 2)  4 Tl 2.96-3.29, 2 Y 3.00, 4 Ta 3.03
Ta  0.2500  0.2500  0.5000 (multiplicity 4)  6 Ta 2.96-3.29, 2 Tl 3.03, 2 Y 3.03
Tl  0.0000  0.5000  0.0000 (multiplicity 2)  4 Y 2.96-3.29, 2 Tl 3.00, 4 Ta 3.03

=====

| no. | D(E_F) (states/eV per atom) |
| --- | --- |
| 1 | 0.631 |
| 2 | 0.358 |
| 3 | 0.680 |
| 4 | 0.963 |
| 5 | 0.878 |
| 6 | 1.000 |